(1)
The following is a DFT calculation (PBE) of AlMoBr2 after structural relaxation.

Cell and atoms, written as POSCAR:
```
AlMoBr2
1.0
5.089 0.006 -0.005
4.044 3.089 -0.005
2.235 0.757 7.350
Br Mo Al
2 1 1
direct
0.012 0.012 0.103 Br
0.850 0.850 0.658 Br
0.454 0.454 0.385 Mo
0.183 0.183 0.355 Al
```

Output
- relative energy among the computed polymorphs (eV per formula unit) = 1.01
- space-group type = No. 8



(2)
The following is a DFT calculation (PBE) of VFeRe2H after structural relaxation.

Cell and atoms, written as POSCAR:
```
VFeRe2H
1.0
3.992 0.000 0.000
0.000 3.992 0.000
0.000 0.000 3.547
Re V H Fe
2 1 1 1
direct
0.000 0.500 0.000 Re
0.500 0.000 0.000 Re
0.500 0.500 0.500 V
0.000 0.000 0.000 H
0.000 0.000 0.500 Fe
```

Output
- space-group type = No. 123



(3)
The following is a DFT calculation (PBE) of DyYPuO6 after structural relaxation.

Cell and atoms, written as POSCAR:
```
DyYPuO6
1.0
-2.801 -2.550 -4.298
-0.206 -2.228 5.274
-7.631 5.191 1.894
O Y Dy Pu
12 2 2 2
direct
0.357 0.026 0.133 O
0.643 0.669 0.633 O
0.026 0.357 0.633 O
0.643 0.974 0.867 O
0.669 0.643 0.133 O
0.974 0.331 0.133 O
0.669 0.026 0.367 O
0.974 0.643 0.367 O
0.026 0.669 0.867 O
0.331 0.357 0.867 O
0.357 0.331 0.367 O
0.331 0.974 0.633 O
0.000 0.000 0.000 Y
0.000 0.000 0.500 Y
0.333 0.667 0.250 Dy
0.667 0.333 0.750 Dy
0.333 0.667 0.750 Pu
0.667 0.333 0.250 Pu
```

Output
- space-group type = No. 163



(4)
The following is a DFT calculation (PBE) of AlVZnTc after structural relaxation.

Cell and atoms, written as POSCAR:
```
AlVZnTc
1.0
-0.749 -0.887 4.133
2.719 -2.503 2.185
2.502 1.697 3.048
Al V Zn Tc
1 1 1 1
direct
0.000 0.000 0.000 Al
0.500 0.500 0.500 V
0.250 0.250 0.250 Zn
0.750 0.750 0.750 Tc
```

Output
- space-group type = No. 216



(5)
The following is a DFT calculation (PBE) of CaZr2 after structural relaxation.

Cell and atoms, written as POSCAR:
```
CaZr2
1.0
6.154 0.000 0.000
-3.077 5.329 0.000
0.000 0.000 10.297
Ca Zr
4 8
direct
0.333 0.667 0.438 Ca
0.667 0.333 0.938 Ca
0.333 0.667 0.062 Ca
0.667 0.333 0.562 Ca
0.678 0.839 0.750 Zr
0.839 0.678 0.250 Zr
0.000 0.000 0.000 Zr
0.839 0.161 0.250 Zr
0.161 0.839 0.750 Zr
0.322 0.161 0.250 Zr
0.161 0.322 0.750 Zr
0.000 0.000 0.500 Zr
```

Output
- relative energy among the computed polymorphs (eV per formula unit) = 0.51
- space-group type = No. 194



(6)
The following is a DFT calculation (PBE) of BaMg2As after structural relaxation.

Cell and atoms, written as POSCAR:
```
BaMg2As
1.0
5.609 -0.002 -0.006
-2.779 6.332 0.010
0.051 0.926 3.304
Mg As Ba
2 1 1
direct
0.000 0.000 0.000 Mg
0.500 0.000 0.500 Mg
0.000 0.500 0.500 As
0.500 0.500 0.000 Ba
```

Output
- space-group type = No. 12



(7)
The following is a DFT calculation (PBE) of ScHgB after structural relaxation.

Cell and atoms, written as POSCAR:
```
ScHgB
1.0
3.363 -1.942 0.000
0.000 3.883 0.000
0.000 0.000 9.336
Hg Sc B
2 2 2
direct
0.333 0.667 0.250 Hg
0.667 0.333 0.750 Hg
0.000 0.000 0.000 Sc
0.000 0.000 0.500 Sc
0.000 0.000 0.750 B
0.000 0.000 0.250 B
```

Output
- relative energy among the computed polymorphs (eV per formula unit) = 3.15
- space-group type = No. 194



(8)
The following is a DFT calculation (PBE) of HfGeAu2 after structural relaxation.

Cell and atoms, written as POSCAR:
```
HfGeAu2
1.0
3.150 0.005 0.000
-1.565 5.433 0.000
0.000 0.000 8.656
Ge Hf Au
2 2 4
direct
0.237 0.476 0.250 Ge
0.763 0.524 0.750 Ge
0.023 0.044 0.750 Hf
0.977 0.956 0.250 Hf
0.376 0.744 0.985 Au
0.624 0.256 0.485 Au
0.376 0.744 0.515 Au
0.624 0.256 0.015 Au
```

Output
- space-group type = No. 11



(9)
The following is a DFT calculation (PBE) of ScNiI3 after structural relaxation.

Cell and atoms, written as POSCAR:
```
ScNiI3
1.0
-3.233 -3.369 2.413
4.135 -2.821 1.601
0.269 2.883 4.386
I Ni Sc
3 1 1
direct
0.000 0.000 0.500 I
0.500 0.000 0.000 I
0.000 0.500 0.000 I
0.000 0.000 0.000 Ni
0.500 0.500 0.500 Sc
```

Output
- space-group type = No. 221



(10)
The following is a DFT calculation (PBE) of SmLu2P after structural relaxation.

Cell and atoms, written as POSCAR:
```
SmLu2P
1.0
-2.196 -2.640 1.242
0.170 -1.020 3.502
-7.699 5.738 3.950
P Sm Lu
1 1 2
direct
0.500 0.500 0.500 P
0.000 0.000 0.000 Sm
0.886 0.886 0.342 Lu
0.114 0.114 0.658 Lu
```

Output
- space-group type = No. 166



Total energy / Ry per atom: -0.32612 -0.66846 -0.67463 -0.46428 -0.44410 -0.18876 -0.28649 -0.40974 -0.24273 -0.38863